Entry 1:
## Pm2CoGePt6 (PBE)

Data for a relaxed Pm2CoGePt6 crystal.

a = 6.563 Å, b = 6.563 Å, c = 8.396 Å
α = 128.96°, β = 128.96°, γ = 49.10°
Sites, in units of the cell vectors:
1 Pm 0.240 0.240 0.208
2 Pm 0.760 0.760 0.792
3 Co 0.500 0.500 0.000
4 Ge 0.000 0.000 0.500
5 Pt 0.242 0.737 0.241
6 Pt 0.252 0.252 0.605
7 Pt 0.263 0.758 0.759
8 Pt 0.737 0.242 0.241
9 Pt 0.748 0.748 0.395
10 Pt 0.758 0.263 0.759

ΔE_f: -6.74 eV/f.u.
Uncorrected energy: -0.47190 Ry/atom
Total moment: 1.49 Bohr magnetons per cell
Theoretical density: 13.386 g/cm3
Crystal system: monoclinic

***

Entry 2:
## CaY2Cl (PBE)

Data for a relaxed CaY2Cl crystal.

a = 7.204 Å, b = 7.204 Å, c = 3.606 Å
α = 104.07°, β = 104.07°, γ = 126.35°
Sites, in units of the cell vectors:
1 Ca 0.000 0.000 0.000
2 Y 0.000 0.500 0.500
3 Y 0.500 0.000 0.500
4 Cl 0.500 0.500 0.000

Uncorrected energy: -0.32776 Ry/atom
Total moment: 0.00 Bohr magnetons per cell
Theoretical density: 3.313 g/cm3
Excess energy over the best structure of this formula in the dataset: 1.860 eV per formula unit
Energy relative to the elements, uncorrected: -0.27 eV per atom
Crystal system: monoclinic

***

What did the first record say?
## Pm2CoGePt6 (PBE)

Data for a relaxed Pm2CoGePt6 crystal.

a = 6.563 Å, b = 6.563 Å, c = 8.396 Å
α = 128.96°, β = 128.96°, γ = 49.10°
Sites, in units of the cell vectors:
1 Pm 0.240 0.240 0.208
2 Pm 0.760 0.760 0.792
3 Co 0.500 0.500 0.000
4 Ge 0.000 0.000 0.500
5 Pt 0.242 0.737 0.241
6 Pt 0.252 0.252 0.605
7 Pt 0.263 0.758 0.759
8 Pt 0.737 0.242 0.241
9 Pt 0.748 0.748 0.395
10 Pt 0.758 0.263 0.759

ΔE_f: -6.74 eV/f.u.
Uncorrected energy: -0.47190 Ry/atom
Total moment: 1.49 Bohr magnetons per cell
Theoretical density: 13.386 g/cm3
Crystal system: monoclinic

***

Q: Number 1 is which compound?
A: Pm2CoGePt6